[1]
Below is Nd2Y3Er6 after structural relaxation, with properties calculated at the PBE level.

Its space-group type is No. 139. As for the formation energy: 0.262 eV per atom. Its crystal system is tetragonal. For the density of states at the Fermi level, the calculation gives 1.547 states/eV/atom.

Unit cell a=16.8239 b=16.8239 c=16.8239 alpha=163.82 beta=163.82 gamma=22.96
Positions (direct):
Nd  0.0463  0.0463  0.0000
Nd  0.9537  0.9537  0.0000
Y  0.2967  0.2967  0.0000
Y  0.5000  0.5000  0.0000
Y  0.7033  0.7033  0.0000
Er  0.1213  0.6213  0.5000
Er  0.1926  0.1926  0.0000
Er  0.3787  0.8787  0.5000
Er  0.6213  0.1213  0.5000
Er  0.8074  0.8074  0.0000
Er  0.8787  0.3787  0.5000

---

[2]
Below is TeAu2Br after structural relaxation, with properties calculated at the PBE level.

Its space-group type is No. 12. Its crystal system is monoclinic. For the density of states at the Fermi level, the calculation gives 0.417 states/eV/atom.

Unit cell a=6.1260 b=8.0556 c=5.0468 alpha=90.00 beta=127.07 gamma=90.00
Positions (direct):
Te  0.0000  0.0000  0.0000
Te  0.5000  0.5000  0.0000
Au  0.2500  0.2500  0.5000
Au  0.2500  0.7500  0.5000
Au  0.7500  0.2500  0.5000
Au  0.7500  0.7500  0.5000
Br  0.0000  0.5000  0.0000
Br  0.5000  0.0000  0.0000

---

[3]
Below is ZnPRhSe after structural relaxation, with properties calculated at the PBE level.

Its space-group type is No. 25. Its crystal system is orthorhombic. For the density of states at the Fermi level, the calculation gives 0.585 states/eV/atom.

Unit cell a=3.8574 b=4.2099 c=5.1351 alpha=90.00 beta=90.00 gamma=90.00
Positions (direct):
Zn  0.0000  0.0000  0.0000
P  0.0000  0.5000  0.2242
Rh  0.5000  0.5000  0.4556
Se  0.5000  0.0000  0.6838

---

no.,offset from the most stable computed form (meV/atom),size of the total moment (μB/atom),theoretical density (g/cm3)
1,71,0.0000,7.0
2,214,0.0000,10.1
3,166,0.0000,5.5